## CeP2IrRu (PBE-GGA)

Data for crystalline CeP2IrRu at its relaxed geometry.

Computed properties:
DFT formation energy = -4.83 eV/f.u.
Uncorrected energy = -7.944 eV/atom

Cell lengths 4.0311, 4.0311, 9.9284 Å; angles 90.00, 90.00, 90.00 degrees
Last column: nearest neighbours and their distance in Å.
Space group I-4m2 (No. 119)
Inequivalent atoms, fractional coordinates:
Ce 0.0000 0.0000 0.0000 x2  8 P 3.08, 4 Ru 3.20, 4 Ir 3.20
P 0.0000 0.0000 0.3820 x4  1 P 2.34, 2 Ru 2.40, 2 Ir 2.40
Ir 0.0000 0.5000 0.7500 x2  4 P 2.40
Ru 0.0000 0.5000 0.2500 x2  4 P 2.40

***

## KSiHgMo2 (PBE-GGA)

Data for crystalline KSiHgMo2 at its relaxed geometry.

Computed properties:
Uncorrected energy = -2.772 eV/atom

Cell lengths 4.7502, 4.7502, 5.3556 Å; angles 90.00, 90.00, 90.00 degrees
Last column: nearest neighbours and their distance in Å.
Space group P4/mmm (No. 123)
Inequivalent atoms, fractional coordinates:
K 0.0000 0.0000 0.0000 x1  4 Mo 2.38
Si 0.5000 0.5000 0.5000 x1  4 Hg 3.36, 8 Mo 3.58
Hg 0.0000 0.0000 0.5000 x1  2 K 2.68
Mo 0.0000 0.5000 0.0000 x2  2 K 2.38

***

## Be2H6Cl (PBE-GGA)

Data for crystalline Be2H6Cl at its relaxed geometry.

Computed properties:
Uncorrected energy = -2.232 eV/atom

Cell lengths 6.2572, 6.2572, 6.2572 Å; angles 90.00, 90.00, 90.00 degrees
Last column: nearest neighbours and their distance in Å.
Space group Fm-3m (No. 225)
Inequivalent atoms, fractional coordinates:
Be 0.2500 0.2500 0.2500 x8  12 H 2.30
H 0.0000 0.0000 0.1493 x24  4 H 1.32
Cl 0.0000 0.0000 0.5000 x4  6 H 2.19

***

## Ca4PI4 (PBE-GGA)

Data for crystalline Ca4PI4 at its relaxed geometry.

Computed properties:
Uncorrected energy = -3.583 eV/atom

Cell lengths 14.8915, 4.3744, 10.9372 Å; angles 90.00, 120.62, 90.00 degrees
Last column: nearest neighbours and their distance in Å.
Space group C2/m (No. 12)
Inequivalent atoms, fractional coordinates:
Ca 0.0797 0.0000 0.4170 x4  2 P 2.85
Ca 0.1797 0.5000 0.7700 x4  1 P 2.80
P 0.0000 0.5000 0.5000 x2  6 Ca 2.80-2.85
I 0.1057 0.0000 0.9104 x4  4 Ca 3.17-3.32
I 0.1919 0.5000 0.2992 x4  5 Ca 3.23-3.38

***

## Sb4PtAu (PBE-GGA)

Data for crystalline Sb4PtAu at its relaxed geometry.

Computed properties:
Distance to the lowest polymorph of the same formula = 0 meV per atom
Uncorrected energy = -4.572 eV/atom

Cell lengths 6.6667, 6.6666, 6.6715 Å; angles 90.00, 90.25, 90.00 degrees
Last column: nearest neighbours and their distance in Å.
Space group P2_1/c (No. 14)
Inequivalent atoms, fractional coordinates:
Sb 0.1166 0.1291 0.3709 x4  2 Pt 2.73, 1 Au 2.83, 1 Sb 2.89
Sb 0.3676 0.6212 0.3796 x4  1 Pt 2.71, 2 Au 2.79-2.80, 1 Sb 2.88
Pt 0.0000 0.0000 0.0000 x2  6 Sb 2.71-2.73
Au 0.5000 0.0000 0.5000 x2  6 Sb 2.79-2.83

***

## SrMgInAg2 (PBE-GGA)

Data for crystalline SrMgInAg2 at its relaxed geometry.

Computed properties:
DFT formation energy = -1.17 eV/f.u.
Uncorrected energy = -2.577 eV/atom

Cell lengths 4.1411, 4.5740, 13.3811 Å; angles 90.00, 90.00, 90.00 degrees
Last column: nearest neighbours and their distance in Å.
Space group Imm2 (No. 44)
Inequivalent atoms, fractional coordinates:
Sr 0.0000 0.0000 0.0000 x2  4 Ag 3.37, 4 In 3.44, 2 Mg 3.70
Mg 0.0000 0.5000 0.7289 x2  6 Ag 2.85-3.10, 2 In 2.96
In 0.0000 0.0000 0.3867 x2  3 Ag 2.87-2.90, 2 Mg 2.96
Ag 0.0000 0.0000 0.6014 x2  2 Mg 2.85, 1 In 2.87, 2 Ag 2.90
Ag 0.0000 0.5000 0.2536 x2  2 In 2.90, 2 Ag 2.90, 4 Mg 3.10